[1]
Material: SrAc6Ge4
Method: DFT, PBE-GGA
State: relaxed

Properties
The crystal system is tetragonal. The density of states at the Fermi level comes out at 9.41 states/eV per cell. The calculated density comes out at 6.97 g/cm³. For the total energy, the calculation gives -49.56 eV/cell. The volume comes out at 37.7 Å³/atom. The formation energy is -4.8 eV/f.u.

a b c (Å): 8.3810 8.3810 8.3810
angles (deg): 120.26 120.26 89.54
Last column: nearest neighbours and their distance in Å.
Atoms (fractional coordinates):
Sr1 0.0000 0.0000 0.0000  4 Ge 3.52
Ac1 0.0000 0.5000 0.5000  4 Ge 3.18
Ac2 0.1708 0.1708 0.6882  4 Ge 3.15-3.30
Ac3 0.4826 0.4826 0.3118  4 Ge 3.15-3.30
Ac4 0.5000 0.0000 0.5000  4 Ge 3.18
Ac5 0.5174 0.8292 0.0000  4 Ge 3.15-3.30
Ac6 0.8292 0.5174 0.0000  4 Ge 3.15-3.30
Ge1 0.1890 0.6238 0.0000  6 Ac 3.15-3.30, 1 Sr 3.52
Ge2 0.3762 0.3762 0.5651  6 Ac 3.15-3.30, 1 Sr 3.52
Ge3 0.6238 0.1890 0.0000  6 Ac 3.15-3.30, 1 Sr 3.52
Ge4 0.8110 0.8110 0.4349  6 Ac 3.15-3.30, 1 Sr 3.52

***

[2]
Material: Pu9Si2Ge
Method: DFT, PBE-GGA
State: relaxed

Properties
The crystal system is tetragonal. The density of states at the Fermi level comes out at 41.74 states/eV per cell. The calculated density comes out at 14.40 g/cm³. For the total energy, the calculation gives -146.83 eV/cell. The volume comes out at 22.3 Å³/atom. The uncorrected formation energy comes out at -0.199 eV/atom.

a b c (Å): 4.4514 4.4514 13.5259
angles (deg): 90.00 90.00 90.00
Last column: nearest neighbours and their distance in Å.
Atoms (fractional coordinates):
Pu1 0.0000 0.0000 0.0000  8 Pu 3.14, 4 Ge 3.15
Pu2 0.0000 0.0000 0.3307  4 Si 3.15, 8 Pu 3.17-3.19
Pu3 0.0000 0.0000 0.6693  4 Si 3.15, 8 Pu 3.17-3.19
Pu4 0.0000 0.5000 0.1638  2 Ge 3.14, 8 Pu 3.14-3.17, 2 Si 3.19
Pu5 0.0000 0.5000 0.5000  8 Pu 3.15-3.19, 4 Si 3.18
Pu6 0.0000 0.5000 0.8362  2 Ge 3.14, 8 Pu 3.14-3.17, 2 Si 3.19
Pu7 0.5000 0.0000 0.1638  2 Ge 3.14, 8 Pu 3.14-3.17, 2 Si 3.19
Pu8 0.5000 0.0000 0.5000  8 Pu 3.15-3.19, 4 Si 3.18
Pu9 0.5000 0.0000 0.8362  2 Ge 3.14, 8 Pu 3.14-3.17, 2 Si 3.19
Si1 0.5000 0.5000 0.3324  12 Pu 3.15-3.19
Si2 0.5000 0.5000 0.6676  12 Pu 3.15-3.19
Ge1 0.5000 0.5000 0.0000  12 Pu 3.14-3.15

***

[3]
Material: Ac6Pm3Pr
Method: DFT, PBE-GGA
State: relaxed

Properties
The crystal system is monoclinic. The density of states at the Fermi level comes out at 32.43 states/eV per cell. The calculated density comes out at 7.85 g/cm³. For the total energy, the calculation gives -86.04 eV/cell. The volume comes out at 41.0 Å³/atom. The formation energy is 0.7 eV/f.u.

a b c (Å): 12.8446 3.8376 17.1415
angles (deg): 90.00 104.00 90.00
Last column: nearest neighbours and their distance in Å.
Atoms (fractional coordinates):
Ac1 0.1086 0.2500 0.3554  3 Pr 3.70-3.90, 2 Pm 3.72, 7 Ac 3.84-4.05
Ac2 0.1115 0.7500 0.9590  4 Pm 3.62-3.71, 8 Ac 3.84-4.00
Ac3 0.1597 0.2500 0.7663  5 Pm 3.84-3.96, 6 Ac 3.84-4.05, 2 Pr 4.01
Ac4 0.3447 0.2500 0.1107  6 Pm 3.67-3.97, 6 Ac 3.84-3.97
Ac5 0.3635 0.7500 0.3162  3 Pm 3.57-3.82, 9 Ac 3.83-3.99
Ac6 0.3720 0.2500 0.5221  2 Pm 3.74, 8 Ac 3.83-4.03, 2 Pr 3.85
Ac7 0.6280 0.7500 0.4779  2 Pm 3.74, 8 Ac 3.83-4.03, 2 Pr 3.85
Ac8 0.6365 0.2500 0.6838  3 Pm 3.57-3.82, 9 Ac 3.83-3.99
Ac9 0.6553 0.7500 0.8893  6 Pm 3.67-3.97, 6 Ac 3.84-3.97
Ac10 0.8403 0.7500 0.2337  5 Pm 3.84-3.96, 6 Ac 3.84-4.05, 2 Pr 4.01
Ac11 0.8885 0.2500 0.0410  4 Pm 3.62-3.71, 8 Ac 3.84-4.00
Ac12 0.8914 0.7500 0.6446  3 Pr 3.70-3.90, 2 Pm 3.72, 7 Ac 3.84-4.05
Pm1 0.1124 0.7500 0.1704  9 Ac 3.57-3.90, 2 Pm 3.84
Pm2 0.3849 0.7500 0.9256  6 Ac 3.67-3.96, 5 Pm 3.68-3.91
Pm3 0.3911 0.7500 0.7121  3 Pm 3.68-3.84, 7 Ac 3.74-3.97, 1 Pr 3.78
Pm4 0.6089 0.2500 0.2879  3 Pm 3.68-3.84, 7 Ac 3.74-3.97, 1 Pr 3.78
Pm5 0.6151 0.2500 0.0744  6 Ac 3.67-3.96, 5 Pm 3.68-3.91
Pm6 0.8876 0.2500 0.8296  9 Ac 3.57-3.90, 2 Pm 3.84
Pr1 0.1269 0.7500 0.5563  7 Ac 3.70-4.01, 1 Pm 3.78, 4 Pr 3.84-3.87
Pr2 0.8731 0.2500 0.4437  7 Ac 3.70-4.01, 1 Pm 3.78, 4 Pr 3.84-3.87

***

[4]
Material: Nd3ErSb3
Method: DFT, PBE-GGA
State: relaxed

Properties
The crystal system is cubic. The density of states at the Fermi level comes out at 28.63 states/eV per cell. The calculated density comes out at 7.67 g/cm³. For the total energy, the calculation gives -153.64 eV/cell. The volume comes out at 29.9 Å³/atom. The uncorrected formation energy comes out at -1.025 eV/atom. The energy above the most stable polymorph in this dataset is 0 meV per atom.

a b c (Å): 9.4219 9.4219 9.4219
angles (deg): 90.00 90.00 90.00
Last column: nearest neighbours and their distance in Å.
Atoms (fractional coordinates):
Nd1 0.0668 0.4332 0.5668  6 Sb 3.17-3.37
Nd2 0.1766 0.8234 0.3234  6 Sb 3.15-3.39
Nd3 0.1793 0.1793 0.1793  6 Sb 3.14-3.43
Nd4 0.3207 0.8207 0.6793  6 Sb 3.14-3.43
Nd5 0.3234 0.1766 0.8234  6 Sb 3.15-3.39
Nd6 0.4332 0.5668 0.0668  6 Sb 3.17-3.37
Nd7 0.5668 0.0668 0.4332  6 Sb 3.17-3.37
Nd8 0.6766 0.6766 0.6766  6 Sb 3.15-3.39
Nd9 0.6793 0.3207 0.8207  6 Sb 3.14-3.43
Nd10 0.8207 0.6793 0.3207  6 Sb 3.14-3.43
Nd11 0.8234 0.3234 0.1766  6 Sb 3.15-3.39
Nd12 0.9332 0.9332 0.9332  6 Sb 3.17-3.37
Er1 0.0727 0.5727 0.9273  6 Sb 3.09-3.38
Er2 0.4273 0.4273 0.4273  6 Sb 3.09-3.38
Er3 0.5727 0.9273 0.0727  6 Sb 3.09-3.38
Er4 0.9273 0.0727 0.5727  6 Sb 3.09-3.38
Sb1 0.0023 0.2570 0.8713  2 Er 3.09-3.38, 6 Nd 3.14-3.43
Sb2 0.1287 0.5023 0.2430  2 Er 3.09-3.38, 6 Nd 3.14-3.43
Sb3 0.2430 0.1287 0.5023  2 Er 3.09-3.38, 6 Nd 3.14-3.43
Sb4 0.2570 0.8713 0.0023  2 Er 3.09-3.38, 6 Nd 3.14-3.43
Sb5 0.3713 0.4977 0.7430  2 Er 3.09-3.38, 6 Nd 3.14-3.43
Sb6 0.4977 0.7430 0.3713  2 Er 3.09-3.38, 6 Nd 3.14-3.43
Sb7 0.5023 0.2430 0.1287  2 Er 3.09-3.38, 6 Nd 3.14-3.43
Sb8 0.6287 0.9977 0.7570  2 Er 3.09-3.38, 6 Nd 3.14-3.43
Sb9 0.7430 0.3713 0.4977  2 Er 3.09-3.38, 6 Nd 3.14-3.43
Sb10 0.7570 0.6287 0.9977  2 Er 3.09-3.38, 6 Nd 3.14-3.43
Sb11 0.8713 0.0023 0.2570  2 Er 3.09-3.38, 6 Nd 3.14-3.43
Sb12 0.9977 0.7570 0.6287  2 Er 3.09-3.38, 6 Nd 3.14-3.43

***

[5]
Material: PaGa4Ru
Method: DFT, PBE-GGA
State: relaxed

Properties
The crystal system is orthorhombic. The density of states at the Fermi level comes out at 8.08 states/eV per cell. The calculated density comes out at 9.41 g/cm³. For the total energy, the calculation gives -66.72 eV/cell. The volume comes out at 18.0 Å³/atom. The formation energy is -2.5 eV/f.u.

a b c (Å): 7.5257 4.1872 6.8467
angles (deg): 90.00 90.00 90.00
Last column: nearest neighbours and their distance in Å.
Atoms (fractional coordinates):
Pa1 0.2500 0.0000 0.1355  1 Ru 2.78, 2 Ga 3.05
Pa2 0.7500 0.0000 0.8645  1 Ru 2.78, 2 Ga 3.05
Ga1 0.0000 0.0000 0.5000  2 Ru 2.45
Ga2 0.0608 0.5000 0.8246  2 Ga 2.57-2.85, 2 Ru 2.62
Ga3 0.2500 0.5000 0.4588  2 Ru 2.79, 8 Ga 2.83-3.04, 2 Pa 3.05
Ga4 0.4392 0.5000 0.8246  2 Ga 2.57-2.85, 2 Ru 2.62
Ga5 0.5000 0.0000 0.5000  2 Ru 2.45
Ga6 0.5608 0.5000 0.1754  2 Ga 2.57-2.85, 2 Ru 2.62
Ga7 0.7500 0.5000 0.5412  2 Ru 2.79, 8 Ga 2.83-3.04, 2 Pa 3.05
Ga8 0.9392 0.5000 0.1754  2 Ga 2.57-2.85, 2 Ru 2.62
Ru1 0.2500 0.0000 0.7290  6 Ga 2.45-2.62
Ru2 0.7500 0.0000 0.2710  6 Ga 2.45-2.62

***

[6]
Material: MgI2
Method: DFT, PBE-GGA
State: relaxed

Properties
The crystal system is triclinic. The density of states at the Fermi level comes out at 0.00 states/eV per cell. The calculated density comes out at 3.23 g/cm³. For the total energy, the calculation gives -7.71 eV/cell. The volume comes out at 47.7 Å³/atom. The uncorrected formation energy comes out at -1.005 eV/atom.

a b c (Å): 4.3908 4.3925 7.4232
angles (deg): 88.82 89.30 89.87
Last column: nearest neighbours and their distance in Å.
Atoms (fractional coordinates):
Mg1 0.0000 0.0000 0.0000  4 I 2.77
I1 0.0026 0.5082 0.7725  2 Mg 2.77
I2 0.4951 0.9919 0.2276  2 Mg 2.77

***

[7]
Material: YTm2Mg2
Method: DFT, PBE-GGA
State: relaxed

Properties
The crystal system is orthorhombic. The density of states at the Fermi level comes out at 11.05 states/eV per cell. The calculated density comes out at 5.72 g/cm³. For the total energy, the calculation gives -37.87 eV/cell. The volume comes out at 27.6 Å³/atom. The formation energy is -0.3 eV/f.u. The energy above the most stable polymorph in this dataset is 0 meV per atom.

a b c (Å): 13.9826 13.9826 5.3979
angles (deg): 90.00 90.00 164.83
Last column: nearest neighbours and their distance in Å.
Atoms (fractional coordinates):
Y1 0.1518 0.8482 0.7500  6 Mg 3.29-3.30, 4 Tm 3.58-3.59
Y2 0.8482 0.1518 0.2500  6 Mg 3.29-3.30, 4 Tm 3.58-3.59
Tm1 0.0439 0.9561 0.2500  8 Mg 3.24-3.28
Tm2 0.2374 0.7626 0.2500  2 Mg 3.27, 4 Tm 3.34, 4 Y 3.58-3.59
Tm3 0.7626 0.2374 0.7500  2 Mg 3.27, 4 Tm 3.34, 4 Y 3.58-3.59
Tm4 0.9561 0.0439 0.7500  8 Mg 3.24-3.28
Mg1 0.3601 0.6399 0.7500  4 Tm 3.24-3.27, 4 Y 3.29, 2 Mg 3.62
Mg2 0.4469 0.5531 0.2500  6 Tm 3.26-3.28, 2 Y 3.30, 2 Mg 3.62
Mg3 0.5531 0.4469 0.7500  6 Tm 3.26-3.28, 2 Y 3.30, 2 Mg 3.62
Mg4 0.6399 0.3601 0.2500  4 Tm 3.24-3.27, 4 Y 3.29, 2 Mg 3.62

***

[8]
Material: MnZn2Tc
Method: DFT, PBE-GGA
State: relaxed

Properties
The crystal system is tetragonal. The density of states at the Fermi level comes out at 4.99 states/eV per cell. The calculated density comes out at 8.45 g/cm³. For the total energy, the calculation gives -43.47 eV/cell. The volume comes out at 13.9 Å³/atom. The formation energy is 0.3 eV/f.u. The energy above the most stable polymorph in this dataset is 81 meV per atom.

a b c (Å): 3.7449 3.7449 7.9502
angles (deg): 90.00 90.00 90.00
Last column: nearest neighbours and their distance in Å.
Atoms (fractional coordinates):
Mn1 0.0000 0.0000 0.0000  4 Tc 2.65, 8 Zn 2.73
Mn2 0.5000 0.5000 0.5000  4 Tc 2.65, 8 Zn 2.73
Zn1 0.0000 0.5000 0.2500  4 Zn 2.65, 4 Mn 2.73, 4 Tc 2.73
Zn2 0.0000 0.5000 0.7500  4 Zn 2.65, 4 Mn 2.73, 4 Tc 2.73
Zn3 0.5000 0.0000 0.2500  4 Zn 2.65, 4 Mn 2.73, 4 Tc 2.73
Zn4 0.5000 0.0000 0.7500  4 Zn 2.65, 4 Mn 2.73, 4 Tc 2.73
Tc1 0.0000 0.0000 0.5000  4 Mn 2.65, 8 Zn 2.73
Tc2 0.5000 0.5000 0.0000  4 Mn 2.65, 8 Zn 2.73

***

[9]
Material: RuSI3
Method: DFT, PBE-GGA
State: relaxed

Properties
The crystal system is cubic. The density of states at the Fermi level comes out at 5.05 states/eV per cell. The calculated density comes out at 5.06 g/cm³. For the total energy, the calculation gives -12.40 eV/cell. The volume comes out at 33.7 Å³/atom. The uncorrected formation energy comes out at 1.131 eV/atom. The energy above the most stable polymorph in this dataset is 381 meV per atom.

a b c (Å): 5.5232 5.5232 5.5232
angles (deg): 90.00 90.00 90.00
Last column: nearest neighbours and their distance in Å.
Atoms (fractional coordinates):
Ru1 0.0000 0.0000 0.0000  12 I 3.91
S1 0.5000 0.5000 0.5000  6 I 2.76
I1 0.0000 0.5000 0.5000  2 S 2.76
I2 0.5000 0.0000 0.5000  2 S 2.76
I3 0.5000 0.5000 0.0000  2 S 2.76

***

[10]
Material: BiPtN2
Method: DFT, PBE-GGA
State: relaxed

Properties
The crystal system is trigonal. The density of states at the Fermi level comes out at 10.57 states/eV per cell. The calculated density comes out at 10.81 g/cm³. For the total energy, the calculation gives -68.99 eV/cell. The volume comes out at 16.6 Å³/atom. The uncorrected formation energy comes out at 0.894 eV/atom.

a b c (Å): 3.4721 3.4721 19.0646
angles (deg): 90.00 90.00 120.00
Last column: nearest neighbours and their distance in Å.
Atoms (fractional coordinates):
Bi1 0.0000 0.0000 0.0000  6 N 2.36
Bi2 0.3333 0.6667 0.6667  6 N 2.36
Bi3 0.6667 0.3333 0.3333  6 N 2.36
Pt1 0.0000 0.0000 0.5000  2 N 1.93
Pt2 0.3333 0.6667 0.1667  2 N 1.93
Pt3 0.6667 0.3333 0.8333  2 N 1.93
N1 0.0000 0.0000 0.3987  1 Pt 1.93
N2 0.0000 0.0000 0.6013  1 Pt 1.93
N3 0.3333 0.6667 0.0653  1 Pt 1.93
N4 0.3333 0.6667 0.2680  1 Pt 1.93
N5 0.6667 0.3333 0.7320  1 Pt 1.93
N6 0.6667 0.3333 0.9347  1 Pt 1.93

***

Number 1 is which compound? SrAc6Ge4

***

What is the formula in the third record? Ac6Pm3Pr